1.
The following is a DFT calculation (PBE-GGA) of crystalline CsBSe4 at its relaxed geometry.

The space-group type is No. 12. The value obtained for the raw formation energy is -0.34 eV per atom. Its calculated total energy is -47.071 eV for the cell shown. As for the total magnetization: 0.000 μB per formula unit. The energy above the most stable polymorph in this dataset is 0.0 meV/atom.

abc: 8.006 8.006 8.851
angles: 105.92 105.92 54.67
Fractional positions:
Cs 0.173 0.173 0.324
Cs 0.827 0.827 0.676
B 0.409 0.409 0.904
B 0.591 0.591 0.096
Se 0.257 0.644 0.375
Se 0.279 0.279 0.767
Se 0.291 0.709 0.000
Se 0.356 0.743 0.625
Se 0.644 0.257 0.375
Se 0.709 0.291 0.000
Se 0.721 0.721 0.233
Se 0.743 0.356 0.625

---

2.
The following is a DFT calculation (PBE-GGA) of crystalline CsBSe4 at its relaxed geometry.

The space-group type is No. 2. The value obtained for the raw formation energy is -0.24 eV per atom. Its calculated total energy is -45.854 eV for the cell shown. As for the total magnetization: 0.000 μB per formula unit. The energy above the most stable polymorph in this dataset is 101.4 meV/atom.

abc: 6.901 7.252 11.127
angles: 95.21 96.33 109.66
Fractional positions:
Cs 0.059 0.250 0.350
Cs 0.941 0.750 0.650
B 0.500 0.000 0.500
B 0.500 0.500 0.000
Se 0.065 0.292 0.697
Se 0.422 0.403 0.760
Se 0.459 0.976 0.334
Se 0.476 0.286 0.085
Se 0.524 0.714 0.915
Se 0.541 0.024 0.666
Se 0.578 0.597 0.240
Se 0.935 0.708 0.303

---

3.
The following is a DFT calculation (PBE-GGA) of crystalline CsBSe2 at its relaxed geometry.

The space-group type is No. 9. The value obtained for the raw formation energy is -0.57 eV per atom. Its calculated total energy is -67.191 eV for the cell shown. As for the total magnetization: 0.000 μB per formula unit.

abc: 13.463 5.588 12.304
angles: 90.00 122.92 90.00
Fractional positions:
Cs 0.000 0.123 0.000
Cs 0.000 0.877 0.500
Cs 0.500 0.377 0.500
Cs 0.500 0.623 0.000
B 0.107 0.378 0.716
B 0.107 0.622 0.216
B 0.607 0.122 0.216
B 0.607 0.878 0.716
Se 0.236 0.356 0.705
Se 0.236 0.644 0.205
Se 0.468 0.100 0.206
Se 0.468 0.900 0.706
Se 0.736 0.144 0.205
Se 0.736 0.856 0.705
Se 0.968 0.400 0.706
Se 0.968 0.600 0.206

---

4.
The following is a DFT calculation (PBE-GGA) of crystalline CsBSe2 at its relaxed geometry.

The space-group type is No. 15. The value obtained for the raw formation energy is -0.66 eV per atom. Its calculated total energy is -68.518 eV for the cell shown. As for the total magnetization: 0.000 μB per formula unit.

abc: 7.473 12.813 5.630
angles: 90.00 111.71 90.00
Fractional positions:
Cs 0.000 0.141 0.250
Cs 0.000 0.859 0.750
Cs 0.500 0.359 0.750
Cs 0.500 0.641 0.250
B 0.000 0.499 0.750
B 0.000 0.501 0.250
B 0.500 0.001 0.250
B 0.500 0.999 0.750
Se 0.151 0.412 0.077
Se 0.151 0.588 0.577
Se 0.349 0.088 0.923
Se 0.349 0.912 0.423
Se 0.651 0.088 0.577
Se 0.651 0.912 0.077
Se 0.849 0.412 0.423
Se 0.849 0.588 0.923